{
  "formula": "RbCuH2",
  "functional": "PBEsol",
  "state": "relaxed",
  "cell": [[-3.662, 2.205, -3.353], [-5.306, -0.646, 0.970], [-2.994, 4.224, 1.646]],
  "species": ["H", "H", "H", "H", "Cu", "Cu", "Rb", "Rb"],
  "fractional_positions": [[0.125, 0.125, 0.625], [0.125, 0.125, 0.125], [0.625, 0.125, 0.125], [0.125, 0.625, 0.125], [0.250, 0.250, 0.250], [0.000, 0.000, 0.000], [0.750, 0.750, 0.750], [0.500, 0.500, 0.500]],
  "vol_a3_per_cell": 113.4,
  "dft_energy_ha_per_atom": -0.1132
}

=====

{
  "formula": "VCr2Te4",
  "functional": "PBEsol",
  "state": "relaxed",
  "cell": [[-1.763, 0.026, -3.472], [4.742, -4.272, -2.439], [-4.715, -2.507, 4.558]],
  "species": ["Cr", "Cr", "Te", "Te", "Te", "Te", "V"],
  "fractional_positions": [[0.747, 0.729, 0.493], [0.253, 0.271, 0.507], [0.882, 0.546, 0.763], [0.118, 0.454, 0.237], [0.630, 0.963, 0.260], [0.370, 0.037, 0.740], [0.000, 0.000, 0.000]],
  "raw_formation_energy_kj_per_mol_fu": -115,
  "polymorph_energy_mev_per_atom": 0.0,
  "vol_a3_per_cell": 156.1
}

=====

{
  "formula": "Zr3ZnCu2",
  "functional": "PBEsol",
  "state": "relaxed",
  "cell": [[-1.677, 0.036, -8.133], [5.452, -3.210, -5.378], [-1.728, -7.117, -3.914]],
  "species": ["Zr", "Zr", "Zr", "Zr", "Zr", "Zr", "Zr", "Zr", "Zr", "Zr", "Zr", "Zr", "Zn", "Zn", "Zn", "Zn", "Cu", "Cu", "Cu", "Cu", "Cu", "Cu", "Cu", "Cu"],
  "fractional_positions": [[0.697, 0.697, 0.303], [0.303, 0.303, 0.697], [0.697, 0.303, 0.697], [0.303, 0.697, 0.303], [0.697, 0.303, 0.303], [0.303, 0.697, 0.697], [0.553, 0.553, 0.947], [0.947, 0.947, 0.553], [0.553, 0.947, 0.553], [0.947, 0.553, 0.947], [0.553, 0.947, 0.947], [0.947, 0.553, 0.553], [0.125, 0.125, 0.125], [0.125, 0.125, 0.625], [0.125, 0.625, 0.125], [0.625, 0.125, 0.125], [0.920, 0.920, 0.920], [0.920, 0.920, 0.240], [0.920, 0.240, 0.920], [0.240, 0.920, 0.920], [0.330, 0.330, 0.330], [0.330, 0.330, 0.010], [0.330, 0.010, 0.330], [0.010, 0.330, 0.330]],
  "vol_a3_per_cell": 404.9,
  "dft_energy_ha_per_atom": -0.2360
}

=====

{
  "formula": "Mn3Cu2NiO8",
  "functional": "PBEsol",
  "state": "relaxed",
  "cell": [[5.749, 0.000, 0.000], [2.874, 4.979, 0.000], [2.874, 1.660, 4.755]],
  "species": ["Mn", "Mn", "Mn", "Cu", "Cu", "Ni", "O", "O", "O", "O", "O", "O", "O", "O"],
  "fractional_positions": [[0.500, 0.000, 0.000], [0.000, 0.500, 0.000], [0.500, 0.500, 0.000], [0.124, 0.124, 0.627], [0.876, 0.876, 0.373], [0.500, 0.500, 0.500], [0.262, 0.262, 0.214], [0.255, 0.712, 0.778], [0.712, 0.255, 0.778], [0.255, 0.255, 0.778], [0.738, 0.738, 0.786], [0.745, 0.288, 0.222], [0.288, 0.745, 0.222], [0.745, 0.745, 0.222]],
  "raw_formation_energy_kj_per_mol_fu": -1723,
  "vol_a3_per_cell": 136.1
}

=====

{
  "formula": "MnSb2As",
  "functional": "PBEsol",
  "state": "relaxed",
  "cell": [[-2.400, -1.001, -2.922], [-3.157, -2.192, 0.726], [-5.436, 4.447, 0.324]],
  "species": ["As", "Mn", "Sb", "Sb"],
  "fractional_positions": [[0.500, 0.500, 0.500], [0.000, 0.000, 0.000], [0.256, 0.256, 0.233], [0.744, 0.744, 0.767]],
  "raw_formation_energy_kj_per_mol_fu": 82,
  "vol_a3_per_cell": 88.2
}

=====

{
  "formula": "CsPrCdTe3",
  "functional": "PBEsol",
  "state": "relaxed",
  "cell": [[-3.993, 1.810, 1.226], [3.275, -3.412, 7.252], [5.427, 10.335, 2.412]],
  "species": ["Cs", "Cs", "Pr", "Pr", "Cd", "Cd", "Te", "Te", "Te", "Te", "Te", "Te"],
  "fractional_positions": [[0.251, 0.501, 0.750], [0.749, 0.499, 0.250], [0.000, 0.000, 0.000], [0.000, 0.000, 0.500], [0.463, 0.926, 0.250], [0.537, 0.074, 0.750], [0.628, 0.256, 0.947], [0.372, 0.744, 0.053], [0.372, 0.744, 0.447], [0.628, 0.256, 0.553], [0.068, 0.136, 0.250], [0.932, 0.864, 0.750]],
  "raw_formation_energy_kj_per_mol_fu": -622,
  "vol_a3_per_cell": 453.2
}

=====

{
  "formula": "LaP2Pt",
  "functional": "PBEsol",
  "state": "relaxed",
  "cell": [[3.401, 0.000, 0.000], [0.000, 3.401, 0.000], [0.000, 0.000, 6.328]],
  "species": ["La", "P", "P", "Pt"],
  "fractional_positions": [[0.500, 0.500, 0.500], [0.000, 0.000, 0.826], [0.000, 0.000, 0.174], [0.500, 0.500, 0.000]],
  "polymorph_energy_mev_per_atom": 273.5,
  "vol_a3_per_cell": 73.2
}

=====

{
  "formula": "LiMn5Cu2O12",
  "functional": "PBEsol",
  "state": "relaxed",
  "cell": [[-4.669, 0.413, -1.713], [1.111, -4.393, 2.092], [-1.924, 3.940, 7.898]],
  "species": ["Li", "Mn", "Mn", "Mn", "Mn", "Mn", "Cu", "Cu", "O", "O", "O", "O", "O", "O", "O", "O", "O", "O", "O", "O"],
  "fractional_positions": [[0.078, 0.922, 0.500], [0.916, 0.084, 0.000], [0.578, 0.422, 0.000], [0.422, 0.578, 0.500], [0.004, 0.511, 0.262], [0.489, 0.996, 0.738], [0.754, 0.246, 0.500], [0.247, 0.753, 0.000], [0.685, 0.186, 0.129], [0.252, 0.080, 0.893], [0.814, 0.315, 0.871], [0.447, 0.262, 0.611], [0.077, 0.266, 0.388], [0.738, 0.553, 0.389], [0.242, 0.423, 0.105], [0.920, 0.748, 0.107], [0.577, 0.758, 0.895], [0.198, 0.667, 0.635], [0.734, 0.923, 0.612], [0.333, 0.802, 0.365]],
  "raw_formation_energy_kj_per_mol_fu": -2659,
  "vol_a3_per_cell": 202.2
}

=====

{
  "formula": "CdInTe2",
  "functional": "PBEsol",
  "state": "relaxed",
  "cell": [[4.281, 0.000, 0.000], [2.141, 3.708, 0.000], [2.141, 1.236, 7.017]],
  "species": ["Cd", "Te", "Te", "In"],
  "fractional_positions": [[0.500, 0.500, 0.500], [0.247, 0.247, 0.258], [0.753, 0.753, 0.742], [0.000, 0.000, 0.000]],
  "raw_formation_energy_kj_per_mol_fu": -119,
  "vol_a3_per_cell": 111.4
}

=====

{
  "formula": "Nb5Te4",
  "functional": "PBEsol",
  "state": "relaxed",
  "cell": [[-3.367, 1.345, 0.001], [-3.713, -4.405, -4.799], [-3.463, -3.785, 5.468]],
  "species": ["Nb", "Nb", "Nb", "Nb", "Nb", "Te", "Te", "Te", "Te"],
  "fractional_positions": [[0.000, 0.000, 0.000], [0.690, 0.688, 0.932], [0.378, 0.932, 0.312], [0.622, 0.068, 0.688], [0.310, 0.312, 0.068], [0.942, 0.345, 0.772], [0.287, 0.772, 0.655], [0.713, 0.228, 0.345], [0.058, 0.655, 0.228]],
  "raw_formation_energy_kj_per_mol_fu": -361,
  "vol_a3_per_cell": 191.9
}

=====

{
  "formula": "NbH2OsW",
  "functional": "PBEsol",
  "state": "relaxed",
  "cell": [[-1.255, -3.374, 0.097], [0.040, -0.118, -3.599], [4.662, -1.730, 0.108]],
  "species": ["H", "H", "Nb", "Os", "W"],
  "fractional_positions": [[0.000, 0.500, 0.000], [0.500, 0.000, 0.000], [0.500, 0.500, 0.500], [0.000, 0.000, 0.500], [0.000, 0.000, 0.000]],
  "vol_a3_per_cell": 64.5,
  "dft_energy_ha_per_atom": -0.2901
}

=====

{
  "formula": "YRe2Pt",
  "functional": "PBEsol",
  "state": "relaxed",
  "cell": [[2.864, 0.000, 0.003], [0.000, 4.446, 0.000], [-1.001, 0.000, 5.333]],
  "species": ["Pt", "Re", "Re", "Y"],
  "fractional_positions": [[0.083, 0.500, 0.735], [0.124, 0.000, 0.047], [0.778, 0.500, 0.180], [0.515, 0.000, 0.538]],
  "polymorph_energy_mev_per_atom": 0.0,
  "vol_a3_per_cell": 67.9
}

=====

{
  "formula": "TlTc2Sb",
  "functional": "PBEsol",
  "state": "relaxed",
  "cell": [[3.061, 0.008, 0.012], [-1.395, 5.103, -0.011], [-1.395, -2.152, 4.628]],
  "species": ["Sb", "Tc", "Tc", "Tl"],
  "fractional_positions": [[0.500, 0.500, 0.500], [0.000, 0.500, 0.000], [0.000, 0.000, 0.500], [0.500, 0.000, 0.000]],
  "raw_formation_energy_kj_per_mol_fu": 284,
  "polymorph_energy_mev_per_atom": 43.5,
  "vol_a3_per_cell": 72.4
}

=====

{
  "formula": "ZrAsRu",
  "functional": "PBEsol",
  "state": "relaxed",
  "cell": [[3.114, 0.000, 0.000], [0.000, 4.263, 0.000], [0.000, -2.131, 3.691]],
  "species": ["Ru", "As", "Zr"],
  "fractional_positions": [[0.000, 0.333, 0.667], [0.000, 0.000, 0.000], [0.500, 0.667, 0.333]],
  "vol_a3_per_cell": 49.0,
  "dft_energy_ha_per_atom": -0.3250
}

=====

{
  "formula": "KCaTeN2",
  "functional": "PBEsol",
  "state": "relaxed",
  "cell": [[-2.845, -3.641, 1.428], [3.107, -1.031, 3.561], [-2.974, 3.769, 3.685]],
  "species": ["Ca", "Te", "K", "N", "N"],
  "fractional_positions": [[0.000, 0.000, 0.000], [0.000, 0.000, 0.500], [0.500, 0.500, 0.500], [0.000, 0.500, 0.000], [0.500, 0.000, 0.000]],
  "raw_formation_energy_kj_per_mol_fu": 394,
  "vol_a3_per_cell": 141.6
}

=====

{
  "formula": "ZrMnBe4",
  "functional": "PBEsol",
  "state": "relaxed",
  "cell": [[-2.305, 3.659, 1.111], [-4.180, -0.372, 1.524], [-0.896, 0.857, 4.289]],
  "species": ["Be", "Be", "Be", "Be", "Mn", "Zr"],
  "fractional_positions": [[0.377, 0.377, 0.377], [0.377, 0.377, 0.869], [0.869, 0.377, 0.377], [0.377, 0.869, 0.377], [0.750, 0.750, 0.750], [0.000, 0.000, 0.000]],
  "vol_a3_per_cell": 62.9,
  "dft_energy_ha_per_atom": -0.2202
}

=====

{
  "formula": "K2Zn3S4",
  "functional": "PBEsol",
  "state": "relaxed",
  "cell": [[-4.980, 2.588, -2.272], [-2.719, -8.688, -3.935], [-6.637, -2.976, 11.156]],
  "species": ["K", "K", "K", "K", "K", "K", "K", "K", "Zn", "Zn", "Zn", "Zn", "Zn", "Zn", "Zn", "Zn", "Zn", "Zn", "Zn", "Zn", "S", "S", "S", "S", "S", "S", "S", "S", "S", "S", "S", "S", "S", "S", "S", "S"],
  "fractional_positions": [[0.000, 0.000, 0.000], [0.500, 0.500, 0.500], [0.000, 0.500, 0.000], [0.500, 0.000, 0.500], [0.978, 0.750, 0.537], [0.522, 0.750, 0.037], [0.022, 0.250, 0.463], [0.478, 0.250, 0.963], [0.261, 0.750, 0.792], [0.239, 0.750, 0.292], [0.739, 0.250, 0.208], [0.761, 0.250, 0.708], [0.188, 0.098, 0.756], [0.312, 0.402, 0.256], [0.812, 0.598, 0.244], [0.688, 0.902, 0.744], [0.812, 0.902, 0.244], [0.688, 0.598, 0.744], [0.188, 0.402, 0.756], [0.312, 0.098, 0.256], [0.898, 0.750, 0.838], [0.602, 0.750, 0.338], [0.102, 0.250, 0.162], [0.398, 0.250, 0.662], [0.467, 0.750, 0.641], [0.033, 0.750, 0.141], [0.533, 0.250, 0.359], [0.967, 0.250, 0.859], [0.905, 0.040, 0.645], [0.595, 0.460, 0.145], [0.095, 0.540, 0.355], [0.405, 0.960, 0.855], [0.095, 0.960, 0.355], [0.405, 0.540, 0.855], [0.905, 0.460, 0.645], [0.595, 0.040, 0.145]],
  "raw_formation_energy_kj_per_mol_fu": -833,
  "vol_a3_per_cell": 799.7
}

=====

{
  "formula": "SmPO4",
  "functional": "PBEsol",
  "state": "relaxed",
  "cell": [[-3.227, -1.871, 5.105], [-2.912, -3.277, -5.039], [4.387, -5.221, 0.860]],
  "species": ["Sm", "Sm", "Sm", "Sm", "P", "P", "P", "P", "O", "O", "O", "O", "O", "O", "O", "O", "O", "O", "O", "O", "O", "O", "O", "O"],
  "fractional_positions": [[0.598, 0.782, 0.655], [0.902, 0.718, 0.155], [0.402, 0.218, 0.345], [0.098, 0.282, 0.845], [0.113, 0.802, 0.661], [0.387, 0.698, 0.161], [0.887, 0.198, 0.339], [0.613, 0.302, 0.839], [0.214, 0.621, 0.711], [0.286, 0.879, 0.211], [0.786, 0.379, 0.289], [0.714, 0.121, 0.789], [0.315, 0.973, 0.602], [0.185, 0.527, 0.102], [0.685, 0.027, 0.398], [0.815, 0.473, 0.898], [0.436, 0.250, 0.998], [0.064, 0.250, 0.498], [0.564, 0.750, 0.002], [0.936, 0.750, 0.502], [0.500, 0.383, 0.665], [0.000, 0.117, 0.165], [0.500, 0.617, 0.335], [0.000, 0.883, 0.835]],
  "raw_formation_energy_kj_per_mol_fu": -1758,
  "vol_a3_per_cell": 281.7
}

=====

{
  "formula": "Ba2AgC",
  "functional": "PBEsol",
  "state": "relaxed",
  "cell": [[6.995, 0.089, 0.145], [-2.560, 6.511, -0.145], [-2.560, -3.070, 5.743]],
  "species": ["C", "C", "Ba", "Ba", "Ba", "Ba", "Ag", "Ag"],
  "fractional_positions": [[0.000, 0.500, 0.500], [0.500, 0.250, 0.750], [0.930, 0.555, 0.125], [0.070, 0.195, 0.625], [0.570, 0.375, 0.445], [0.430, 0.875, 0.805], [0.000, 0.000, 0.000], [0.500, 0.750, 0.250]],
  "vol_a3_per_cell": 263.4,
  "dft_energy_ha_per_atom": -0.1335
}

=====

{
  "formula": "Ba2SrTl",
  "functional": "PBEsol",
  "state": "relaxed",
  "cell": [[4.123, 0.000, 0.000], [0.000, 4.123, 0.000], [0.000, 0.000, 10.760]],
  "species": ["Sr", "Tl", "Ba", "Ba"],
  "fractional_positions": [[0.000, 0.000, 0.566], [0.500, 0.500, 0.738], [0.000, 0.000, 0.935], [0.500, 0.500, 0.261]],
  "polymorph_energy_mev_per_atom": 11.3,
  "vol_a3_per_cell": 182.9
}

=====

{
  "formula": "Ti2Co2Ir",
  "functional": "PBEsol",
  "state": "relaxed",
  "cell": [[-1.053, 1.441, 2.404], [-0.644, -5.713, 3.144], [6.100, 0.589, 2.318]],
  "species": ["Ir", "Ir", "Co", "Co", "Co", "Co", "Ti", "Ti", "Ti", "Ti"],
  "fractional_positions": [[0.000, 0.000, 0.000], [0.000, 0.500, 0.500], [0.000, 0.378, 0.878], [0.000, 0.878, 0.622], [0.000, 0.622, 0.122], [0.000, 0.122, 0.378], [0.500, 0.183, 0.683], [0.500, 0.683, 0.817], [0.500, 0.817, 0.317], [0.500, 0.317, 0.183]],
  "vol_a3_per_cell": 128.5,
  "dft_energy_ha_per_atom": -0.3248
}

=====

{
  "formula": "ZrTlRe2",
  "functional": "PBEsol",
  "state": "relaxed",
  "cell": [[-1.414, 3.142, 0.170], [-2.902, -1.374, 1.264], [2.105, 0.648, 5.538]],
  "species": ["Re", "Re", "Tl", "Zr"],
  "fractional_positions": [[0.000, 0.000, 0.731], [0.000, 0.000, 0.269], [0.500, 0.500, 0.000], [0.500, 0.500, 0.500]],
  "polymorph_energy_mev_per_atom": 0.0,
  "vol_a3_per_cell": 71.0
}

=====

{
  "formula": "La2PRu",
  "functional": "PBEsol",
  "state": "relaxed",
  "cell": [[3.155, 0.000, 0.000], [0.000, 3.155, 0.000], [0.000, 0.000, 8.874]],
  "species": ["La", "La", "P", "Ru"],
  "fractional_positions": [[0.000, 0.000, 0.933], [0.500, 0.500, 0.323], [0.000, 0.000, 0.566], [0.500, 0.500, 0.678]],
  "vol_a3_per_cell": 88.3,
  "dft_energy_ha_per_atom": -0.2568
}